--- P ---
Density functional theory data (GGA-PBE) for an optimized crystal structure of NaLaTiO4.

Cell lengths 3.823, 3.823, 12.610 Å; angles 90.00, 90.00, 90.00 degrees
Space group I4mm (No. 107)
One atom of each set of equivalent atoms:
Na1 0.000 0.000 0.000 [2 per cell]
La1 0.000 0.000 0.297 [2 per cell]
Ti1 0.000 0.000 0.633 [2 per cell]
O1 0.000 0.000 0.489 [2 per cell]
O2 0.000 0.000 0.818 [2 per cell]
O3 0.000 0.500 0.159 [4 per cell]

Computed properties:
Crystal system: tetragonal

--- Q ---
Density functional theory data (GGA-PBE) for an optimized crystal structure of NaLaTiO4.

Cell lengths 3.787, 3.787, 13.208 Å; angles 90.00, 90.00, 90.00 degrees
Space group P4/nmm (No. 129, origin choice 2)
One atom of each set of equivalent atoms:
Na1 0.250 0.250 0.083 [2 per cell]
La1 0.250 0.250 0.391 [2 per cell]
Ti1 0.250 0.250 0.775 [2 per cell]
O1 0.250 0.250 0.569 [2 per cell]
O2 0.250 0.250 0.908 [2 per cell]
O3 0.250 0.750 0.261 [4 per cell]

Computed properties:
Crystal system: tetragonal

Most stable pick: Q. Distance to second place: 3.2 kJ/mol of atoms.